Entry from Alexandria via LeMat-Bulk: Na2Tl2VO6 after structural relaxation (GGA+U).

Summary:
energy	-116.85	eV per cell

Geometry as CIF:
```
data_Na2Tl2VO6
_cell_length_a 5.739
_cell_length_b 9.785
_cell_length_c 5.900
_cell_angle_alpha 90.00
_cell_angle_beta 107.72
_cell_angle_gamma 90.00
_symmetry_space_group_name_H-M 'C 1 2/m 1'
_symmetry_Int_Tables_number 12
loop_
_symmetry_equiv_pos_as_xyz
'x,y,z'
'-x,-y,-z'
'-x,y,-z'
'x,-y,z'
'x+1/2,y+1/2,z'
'-x+1/2,-y+1/2,-z'
'-x+1/2,y+1/2,-z'
'x+1/2,-y+1/2,z'
loop_
_atom_site_label
_atom_site_type_symbol
_atom_site_fract_x
_atom_site_fract_y
_atom_site_fract_z
_atom_site_occupancy
Na1 Na 0.000 0.165 0.000 1
Tl1 Tl 0.000 0.334 0.500 1
V1 V 0.000 0.000 0.500 1
O1 O 0.207 0.151 0.704 1
O2 O 0.215 0.000 0.305 1
```